Record 1
Below is an optimized crystal structure of MgSnAsCl2, with properties calculated at the PBEsol level.

Results
Calculated volume   26.338 Å³ per atom
Density   3.642 g cm⁻³
Density of states at the Fermi level   0.859 states/eV/atom
Formation energy without anion corrections   2.1 meV per atom
Final energy   -0.2218 Ry/atom
Size of the total moment   0.000 μB/atom

Geometry as POSCAR:
```
MgSnAsCl2
1.0
-1.838 3.374 -3.006
-0.604 -3.399 -3.446
-5.080 -1.051 1.927
Mg As Sn Cl
1 1 1 2
Cartesian
-2.540 -0.525 0.963
0.000 0.000 0.000
-3.761 -0.538 -2.263
-0.302 -1.700 -1.723
-0.919 1.687 -1.503
```

***

Record 2
Below is an optimized crystal structure of Y2HgRu, with properties calculated at the PBEsol level.

Results
DFT formation energy   -0.24 eV per atom
Calculated volume   23.838 Å³ per atom
Density   8.350 g cm⁻³
Density of states at the Fermi level   0.612 states/eV/atom
Final energy   -0.4657 Ry/atom
Size of the total moment   0.000 μB/atom

Geometry as POSCAR:
```
Y2HgRu
1.0
-0.656 0.916 -3.243
-2.591 -2.468 1.644
-3.011 6.915 2.562
Hg Ru Y
1 1 2
Cartesian
-1.505 3.457 1.281
-0.328 0.458 -1.622
-2.056 0.445 0.542
-4.202 4.917 0.422
```

***

Record 3
Below is an optimized crystal structure of K2ZrCo, with properties calculated at the PBEsol level.

Results
DFT formation energy   1.48 eV per atom
Calculated volume   28.028 Å³ per atom
Energy above the most stable polymorph in this dataset   263 meV/atom
Density   3.382 g cm⁻³
Density of states at the Fermi level   1.019 states/eV/atom
Final energy   -0.2424 Ry/atom
Size of the total moment   0.189 μB/atom

Geometry as POSCAR:
```
K2ZrCo
1.0
-3.454 -1.822 -2.304
2.484 0.085 -3.792
1.885 -4.992 1.123
Co K Zr
1 2 1
Cartesian
0.458 -3.365 -2.486
0.489 -1.294 0.291
1.396 -3.698 0.832
-0.485 -0.869 -3.048
```

***

Record 4
Below is an optimized crystal structure of CaZnSe2, with properties calculated at the PBEsol level.

Results
Calculated volume   22.758 Å³ per atom
Density   4.805 g cm⁻³
Density of states at the Fermi level   0.170 states/eV/atom
Formation energy without anion corrections   -1118.2 meV per atom
Final energy   -0.2919 Ry/atom
Size of the total moment   0.000 μB/atom

Geometry as POSCAR:
```
CaZnSe2
1.0
-2.107 -2.390 -2.325
1.694 -3.136 1.688
-4.261 -0.144 4.009
Se Zn Ca
2 1 1
Cartesian
-3.613 -0.122 3.399
-1.743 -2.815 1.127
-1.817 -0.061 1.710
-3.893 -2.887 3.150
```

***

Record 5
Below is an optimized crystal structure of ZnPN3, with properties calculated at the PBEsol level.

Results
Calculated volume   11.032 Å³ per atom
Density   4.166 g cm⁻³
Density of states at the Fermi level   0.697 states/eV/atom
Formation energy without anion corrections   2199.8 meV per atom
Final energy   -0.3227 Ry/atom
Size of the total moment   0.376 μB/atom

Geometry as POSCAR:
```
ZnPN3
1.0
3.807 0.000 0.000
0.000 3.807 0.000
0.000 0.000 3.807
N P Zn
3 1 1
Cartesian
0.000 1.903 0.000
0.000 0.000 1.903
1.903 0.000 0.000
1.903 1.903 1.903
0.000 0.000 0.000
```

***

Record 6
Below is an optimized crystal structure of Cs3BiPd, with properties calculated at the PBEsol level.

Results
DFT formation energy   0.14 eV per atom
Calculated volume   45.760 Å³ per atom
Density   5.183 g cm⁻³
Density of states at the Fermi level   1.185 states/eV/atom
Final energy   -0.1821 Ry/atom
Size of the total moment   0.227 μB/atom

Geometry as POSCAR:
```
Cs3BiPd
1.0
-5.729 -2.097 -0.437
1.646 -5.107 2.935
-1.372 2.632 5.348
Cs Bi Pd
3 1 1
Cartesian
-2.864 -1.049 -0.219
-0.686 1.316 2.674
0.823 -2.554 1.468
-2.727 -2.286 3.923
0.000 0.000 0.000
```